{
  "formula": "EuP",
  "functional": "PBE",
  "state": "optimized geometry",
  "relative_energy_ev_per_atom": 0.066,
  "magmom_total_mub_per_fu": 6.60,
  "sg": "No. 63",
  "lattice": [[1.998, -5.578, 0.000], [1.998, 5.578, 0.000], [0.000, 0.000, 4.350]],
  "species": ["Eu", "Eu", "P", "P"],
  "fractional_positions": [[0.125, 0.875, 0.750], [0.875, 0.125, 0.250], [0.391, 0.609, 0.750], [0.609, 0.391, 0.250]]
}